This record from Alexandria via LeMat-Bulk describes crystalline BaErAu2 at its relaxed geometry. The functional is PBE.

Output
- Energy of formation from the pure elements: -0.691 eV/atom
- Energy above the lowest structure with this stoichiometry: 0.0628 eV/atom
- E_tot: -3.951 eV/atom
- Volume: 30.333 Å³/atom
- Symmetry: No. 166

Cell lengths 4.9843, 4.9843, 16.9182 Å; angles 90.00, 90.00, 120.00 degrees
Atoms (fractional coordinates):
Ba: 0.0000 0.0000 0.0000
Ba: 0.3333 0.6667 0.6667
Ba: 0.6667 0.3333 0.3333
Er: 0.0000 0.0000 0.5000
Er: 0.3333 0.6667 0.1667
Er: 0.6667 0.3333 0.8333
Au: 0.0000 0.0000 0.2048
Au: 0.0000 0.0000 0.7952
Au: 0.3333 0.6667 0.4619
Au: 0.3333 0.6667 0.8714
Au: 0.6667 0.3333 0.1286
Au: 0.6667 0.3333 0.5381